No. 1
# LiZrSn2 (PBE, optimized geometry)
data_LiZrSn2
_cell_length_a 7.092
_cell_length_b 7.092
_cell_length_c 7.092
_cell_angle_alpha 90.00
_cell_angle_beta 90.00
_cell_angle_gamma 90.00
_space_group_name_H-M_alt 'F m -3 m'
_space_group_IT_number 225
_space_group_name_Hall '-F 4 2 3'
loop_
_atom_site_label
_atom_site_type_symbol
_atom_site_fract_x
_atom_site_fract_y
_atom_site_fract_z
_atom_site_occupancy
Li1 Li 0.000 0.000 0.000 1
Zr1 Zr 0.000 0.000 0.500 1
Sn1 Sn 0.250 0.250 0.250 1
# Formation energy from the elements = -0.173 eV per atom
# Magnetic moment = 0.00 μB/f.u.
# Polymorph energy (0 for the lowest one) = 0.679 eV per formula unit

No. 2
# ZrSe2SBr (PBE, optimized geometry)
data_ZrSe2SBr
_cell_length_a 5.237
_cell_length_b 5.237
_cell_length_c 5.372
_cell_angle_alpha 90.00
_cell_angle_beta 90.00
_cell_angle_gamma 90.00
_space_group_name_H-M_alt 'P 4/m m m'
_space_group_IT_number 123
_space_group_name_Hall '-P 4 2'
loop_
_atom_site_label
_atom_site_type_symbol
_atom_site_fract_x
_atom_site_fract_y
_atom_site_fract_z
_atom_site_occupancy
Zr1 Zr 0.000 0.000 0.000 1
Se1 Se 0.000 0.500 0.000 1
S1 S 0.500 0.500 0.500 1
Br1 Br 0.000 0.000 0.500 1
# Magnetic moment = 2.52 μB/f.u.
# Uncorrected formation energy = -0.115 eV per atom
# Polymorph energy (0 for the lowest one) = 0.000 eV per formula unit

No. 3
# Ac2TeSeS (PBE, optimized geometry)
data_Ac2TeSeS
_cell_length_a 17.291
_cell_length_b 4.884
_cell_length_c 11.954
_cell_angle_alpha 90.00
_cell_angle_beta 132.58
_cell_angle_gamma 90.00
_space_group_name_H-M_alt 'C 1 2/m 1'
_space_group_IT_number 12
loop_
_space_group_symop_operation_xyz
'x,y,z'
'-x,-y,-z'
'-x,y,-z'
'x,-y,z'
'x+1/2,y+1/2,z'
'-x+1/2,-y+1/2,-z'
'-x+1/2,y+1/2,-z'
'x+1/2,-y+1/2,z'
loop_
_atom_site_label
_atom_site_type_symbol
_atom_site_fract_x
_atom_site_fract_y
_atom_site_fract_z
_atom_site_occupancy
Ac1 Ac 0.096 0.000 0.365 1
Ac2 Ac 0.177 0.500 0.073 1
Te1 Te 0.196 0.500 0.634 1
Se1 Se 0.065 0.500 0.194 1
S1 S 0.134 0.000 0.891 1
# Magnetic moment = 0.00 μB/f.u.
# Uncorrected formation energy = -1.899 eV per atom

No. 4
# Hg3MoRh (PBE, optimized geometry)
data_Hg3MoRh
_cell_length_a 5.180
_cell_length_b 5.180
_cell_length_c 5.180
_cell_angle_alpha 90.00
_cell_angle_beta 90.00
_cell_angle_gamma 90.00
_space_group_name_H-M_alt 'P m -3 m'
_space_group_IT_number 221
_space_group_name_Hall '-P 4 2 3'
loop_
_atom_site_label
_atom_site_type_symbol
_atom_site_fract_x
_atom_site_fract_y
_atom_site_fract_z
_atom_site_occupancy
Hg1 Hg 0.000 0.000 0.500 1
Mo1 Mo 0.500 0.500 0.500 1
Rh1 Rh 0.000 0.000 0.000 1
# Formation energy from the elements = 1.066 eV per atom
# Magnetic moment = 5.08 μB/f.u.
# Polymorph energy (0 for the lowest one) = 0.000 eV per formula unit

No. 5
# Co2ReMo (PBE, optimized geometry)
data_Co2ReMo
_cell_length_a 2.6665
_cell_length_b 2.6665
_cell_length_c 25.6700
_cell_angle_alpha 90.00
_cell_angle_beta 90.00
_cell_angle_gamma 120.00
_space_group_name_H-M_alt 'R -3 m'
_space_group_IT_number 166
_space_group_name_Hall '-R 3 2"'
loop_
_atom_site_label
_atom_site_type_symbol
_atom_site_fract_x
_atom_site_fract_y
_atom_site_fract_z
_atom_site_occupancy
Co1 Co 0.0000 0.0000 0.2486 1
Re1 Re 0.0000 0.0000 0.5000 1
Mo1 Mo 0.0000 0.0000 0.0000 1
# Formation energy from the elements = 0.217 eV per atom
# Magnetic moment = 0.00 μB/f.u.
# Polymorph energy (0 for the lowest one) = 1.035 eV per formula unit

No. 6
# Zr2AlW (PBE, optimized geometry)
data_Zr2AlW
_cell_length_a 2.905
_cell_length_b 2.905
_cell_length_c 9.072
_cell_angle_alpha 90.00
_cell_angle_beta 90.00
_cell_angle_gamma 90.00
_space_group_name_H-M_alt 'P 4/m m m'
_space_group_IT_number 123
_space_group_name_Hall '-P 4 2'
loop_
_atom_site_label
_atom_site_type_symbol
_atom_site_fract_x
_atom_site_fract_y
_atom_site_fract_z
_atom_site_occupancy
Zr1 Zr 0.000 0.000 0.241 1
Al1 Al 0.500 0.500 0.000 1
W1 W 0.500 0.500 0.500 1
# Formation energy from the elements = 0.018 eV per atom
# Magnetic moment = 0.00 μB/f.u.

No. 7
# Ac2Cu6SiPt (PBE, optimized geometry)
data_Ac2Cu6SiPt
_cell_length_a 6.110
_cell_length_b 6.186
_cell_length_c 6.799
_cell_angle_alpha 64.18
_cell_angle_beta 63.39
_cell_angle_gamma 60.46
_space_group_name_H-M_alt 'P -1'
_space_group_IT_number 2
loop_
_space_group_symop_operation_xyz
'x,y,z'
'-x,-y,-z'
loop_
_atom_site_label
_atom_site_type_symbol
_atom_site_fract_x
_atom_site_fract_y
_atom_site_fract_z
_atom_site_occupancy
Ac1 Ac 0.214 0.215 0.358 1
Cu1 Cu 0.245 0.647 0.861 1
Cu2 Cu 0.246 0.245 0.852 1
Cu3 Cu 0.344 0.755 0.147 1
Si1 Si 0.000 0.000 0.000 1
Pt1 Pt 0.500 0.500 0.500 1
# Magnetic moment = 0.00 μB/f.u.
# Uncorrected formation energy = -0.269 eV per atom

No. 8
# GeH (PBE, optimized geometry)
data_GeH
_cell_length_a 8.087
_cell_length_b 8.087
_cell_length_c 3.722
_cell_angle_alpha 90.00
_cell_angle_beta 90.00
_cell_angle_gamma 90.00
_space_group_name_H-M_alt 'I 4/m m m'
_space_group_IT_number 139
_space_group_name_Hall '-I 4 2'
loop_
_atom_site_label
_atom_site_type_symbol
_atom_site_fract_x
_atom_site_fract_y
_atom_site_fract_z
_atom_site_occupancy
Ge1 Ge 0.000 0.315 0.000 1
H1 H 0.158 0.158 0.000 1
# Uncorrected energy = -7.2 eV/f.u.
# Magnetic moment = 0.00 μB/f.u.

No. 9
# LaMg4Ag (PBE, optimized geometry)
data_LaMg4Ag
_cell_length_a 8.439
_cell_length_b 8.439
_cell_length_c 8.439
_cell_angle_alpha 90.00
_cell_angle_beta 90.00
_cell_angle_gamma 90.00
_space_group_name_H-M_alt 'F -4 3 m'
_space_group_IT_number 216
_space_group_name_Hall 'F -4 2 3'
loop_
_atom_site_label
_atom_site_type_symbol
_atom_site_fract_x
_atom_site_fract_y
_atom_site_fract_z
_atom_site_occupancy
La1 La 0.000 0.000 0.000 1
Mg1 Mg 0.125 0.125 0.625 1
Ag1 Ag 0.250 0.250 0.250 1
# Formation energy from the elements = 0.027 eV per atom
# Magnetic moment = 0.00 μB/f.u.
# Polymorph energy (0 for the lowest one) = 1.174 eV per formula unit

No. 10
# La2PrCu (PBE, optimized geometry)
data_La2PrCu
_cell_length_a 3.8241
_cell_length_b 3.8241
_cell_length_c 30.4435
_cell_angle_alpha 90.00
_cell_angle_beta 90.00
_cell_angle_gamma 120.00
_space_group_name_H-M_alt 'R 3 m'
_space_group_IT_number 160
_space_group_name_Hall 'R 3 -2"'
loop_
_atom_site_label
_atom_site_type_symbol
_atom_site_fract_x
_atom_site_fract_y
_atom_site_fract_z
_atom_site_occupancy
La1 La 0.0000 0.0000 0.0000 1
La2 La 0.0000 0.0000 0.1992 1
Pr1 Pr 0.0000 0.0000 0.7669 1
Cu1 Cu 0.0000 0.0000 0.5993 1
# Formation energy from the elements = 0.047 eV per atom
# Magnetic moment = 0.00 μB/f.u.
# Polymorph energy (0 for the lowest one) = 0.438 eV per formula unit

No. 11
# Pu2CoGe3Pt4 (PBE, optimized geometry)
data_Pu2CoGe3Pt4
_cell_length_a 4.208
_cell_length_b 4.208
_cell_length_c 10.485
_cell_angle_alpha 90.00
_cell_angle_beta 90.00
_cell_angle_gamma 90.00
_space_group_name_H-M_alt 'P -4 m 2'
_space_group_IT_number 115
loop_
_space_group_symop_operation_xyz
'x,y,z'
'y,-x,-z'
'-x,-y,z'
'-y,x,-z'
'-x,y,z'
'-y,-x,-z'
'x,-y,z'
'y,x,-z'
loop_
_atom_site_label
_atom_site_type_symbol
_atom_site_fract_x
_atom_site_fract_y
_atom_site_fract_z
_atom_site_occupancy
Pu1 Pu 0.000 0.500 0.242 1
Co1 Co 0.500 0.500 0.000 1
Ge1 Ge 0.000 0.000 0.000 1
Ge2 Ge 0.000 0.500 0.636 1
Pt1 Pt 0.000 0.000 0.500 1
Pt2 Pt 0.000 0.500 0.869 1
Pt3 Pt 0.500 0.500 0.500 1
# Formation energy from the elements = -0.584 eV per atom
# Magnetic moment = 12.69 μB/f.u.

No. 12
# La2Sn2Sb (PBE, optimized geometry)
data_La2Sn2Sb
_cell_length_a 4.229
_cell_length_b 4.229
_cell_length_c 17.609
_cell_angle_alpha 90.00
_cell_angle_beta 90.00
_cell_angle_gamma 90.00
_space_group_name_H-M_alt 'I 4/m m m'
_space_group_IT_number 139
_space_group_name_Hall '-I 4 2'
loop_
_atom_site_label
_atom_site_type_symbol
_atom_site_fract_x
_atom_site_fract_y
_atom_site_fract_z
_atom_site_occupancy
La1 La 0.000 0.000 0.097 1
Sn1 Sn 0.000 0.500 0.250 1
Sb1 Sb 0.000 0.000 0.500 1
# Magnetic moment = 0.00 μB/f.u.
# Uncorrected formation energy = -0.745 eV per atom
# Polymorph energy (0 for the lowest one) = 0.000 eV per formula unit